<A>
CsPd3Cl | GGA-PBE | relaxed

Results
Calculated volume   116.1 Å³ per cell

a = 4.8789 Å, b = 4.8789 Å, c = 4.8789 Å
α = 90.00°, β = 90.00°, γ = 90.00°
Fractional positions:
Pd1 0.0000 0.0000 0.5000
Pd2 0.0000 0.5000 0.0000
Cl1 0.0000 0.0000 0.0000
Cs1 0.5000 0.5000 0.5000
Pd3 0.5000 0.0000 0.0000



<B>
CsPd3Cl | GGA-PBE | relaxed

Results
Calculated volume   147.3 Å³ per cell

a = 5.2818 Å, b = 5.2818 Å, c = 5.2818 Å
α = 90.00°, β = 90.00°, γ = 90.00°
Fractional positions:
Pd1 0.5000 0.0000 0.0000
Pd2 0.0000 0.0000 0.5000
Pd3 0.0000 0.5000 0.0000
Cl1 0.5000 0.5000 0.5000
Cs1 0.0000 0.0000 0.0000



Of them, the most stable is <A> and the least stable is <B>.



<A>
CsPdCl2 | GGA-PBE | relaxed

Results
Calculated volume   111.3 Å³ per cell

a = 5.3990 Å, b = 5.3990 Å, c = 5.3990 Å
α = 60.00°, β = 60.00°, γ = 60.00°
Each line ends with the local moment (μB).
Fractional positions:
Cl1 0.7500 0.7500 0.7500  0.09
Pd1 0.0000 0.0000 0.0000  0.74
Cl2 0.2500 0.2500 0.2500  0.09
Cs1 0.5000 0.5000 0.5000  0.01



<B>
CsPdCl2 | GGA-PBE | relaxed

Results
Calculated volume   198.3 Å³ per cell

a = 8.4250 Å, b = 8.4250 Å, c = 8.4250 Å
α = 37.46°, β = 37.46°, γ = 37.46°
Each line ends with the local moment (μB).
Fractional positions:
Cs1 0.5000 0.5000 0.5000  0.00
Cl1 0.9016 0.9016 0.9016  0.04
Pd1 0.0000 0.0000 0.0000  0.69
Cl2 0.0984 0.0984 0.0984  0.04



Of them, the most stable is <B> and the least stable is <A>.